Record 1
Here is a geometry-optimized Mg5TlBi2 structure from Alexandria. Energies are from PBE.

Unit cell a=5.627 b=10.305 c=7.962 alpha=87.64 beta=110.69 gamma=90.00
Atoms (fractional coordinates):
Mg 0.141 0.750 0.000
Mg 0.532 0.640 0.839
Mg 0.307 0.140 0.839
Mg 0.859 0.250 0.000
Bi 0.335 0.073 0.225
Bi 0.889 0.573 0.225
Mg 0.920 0.706 0.587
Mg 0.693 0.860 0.161
Bi 0.111 0.427 0.775
Mg 0.468 0.360 0.161
Mg 0.080 0.294 0.413
Mg 0.333 0.794 0.413
Tl 0.000 0.000 0.500
Mg 0.667 0.206 0.587
Tl 0.500 0.500 0.500
Bi 0.665 0.927 0.775

## Properties
Crystal system   monoclinic
Formation energy from the elements   -0.227 eV per formula unit
Magnetic moment   0.00 μB/cell

Record 2
Here is a geometry-optimized Mg2TlBi2 structure from Alexandria. Energies are from PBE.

Unit cell a=9.037 b=9.037 c=3.504 alpha=90.00 beta=90.00 gamma=90.00
Atoms (fractional coordinates):
Bi 0.165 0.665 0.500
Mg 0.130 0.370 0.000
Mg 0.630 0.130 0.000
Tl 0.500 0.500 0.000
Bi 0.665 0.835 0.500
Mg 0.870 0.630 0.000
Mg 0.370 0.870 0.000
Bi 0.335 0.165 0.500
Bi 0.835 0.335 0.500
Tl 0.000 0.000 0.000

## Properties
Crystal system   tetragonal
Formation energy from the elements   -0.548 eV per formula unit
Magnetic moment   0.00 μB/cell

Record 3
Here is a geometry-optimized Mg3TlBi3 structure from Alexandria. Energies are from PBE.

Unit cell a=8.164 b=8.164 c=8.164 alpha=90.00 beta=90.00 gamma=90.00
Atoms (fractional coordinates):
Bi 0.750 0.000 0.500
Mg 0.000 0.750 0.500
Mg 0.750 0.500 0.000
Bi 0.000 0.500 0.750
Bi 0.000 0.500 0.250
Tl 0.000 0.000 0.000
Bi 0.250 0.000 0.500
Bi 0.500 0.250 0.000
Tl 0.500 0.500 0.500
Mg 0.500 0.000 0.750
Mg 0.500 0.000 0.250
Mg 0.000 0.250 0.500
Mg 0.250 0.500 0.000
Bi 0.500 0.750 0.000

## Properties
Crystal system   cubic
Formation energy from the elements   0.866 eV per formula unit
Magnetic moment   0.00 μB/cell

Record 4
Here is a geometry-optimized MgTl4Bi structure from Alexandria. Energies are from PBE.

Unit cell a=5.156 b=6.758 c=12.137 alpha=57.16 beta=90.00 gamma=90.00
Atoms (fractional coordinates):
Tl 0.250 0.038 0.086
Tl 0.750 0.460 0.919
Tl 0.250 0.203 0.417
Mg 0.750 0.112 0.252
Tl 0.250 0.540 0.081
Mg 0.250 0.888 0.748
Tl 0.250 0.711 0.413
Tl 0.750 0.289 0.587
Tl 0.750 0.797 0.583
Bi 0.750 0.603 0.251
Tl 0.750 0.962 0.914
Bi 0.250 0.397 0.749

## Properties
Crystal system   monoclinic
Formation energy from the elements   -0.009 eV per formula unit
Magnetic moment   0.00 μB/cell

Record 5
Here is a geometry-optimized Mg3TlBi structure from Alexandria. Energies are from PBE.

Unit cell a=5.327 b=5.327 c=5.327 alpha=90.00 beta=90.00 gamma=90.00
Atoms (fractional coordinates):
Mg 0.000 0.500 0.000
Mg 0.000 0.000 0.500
Mg 0.500 0.000 0.000
Bi 0.500 0.500 0.500
Tl 0.000 0.000 0.000

## Properties
Crystal system   cubic
Formation energy from the elements   1.433 eV per formula unit
Magnetic moment   0.00 μB/cell

Record 6
Here is a geometry-optimized Mg4TlBi structure from Alexandria. Energies are from PBE.

Unit cell a=4.440 b=10.597 c=10.203 alpha=138.21 beta=102.77 gamma=89.70
Atoms (fractional coordinates):
Mg 0.664 0.832 0.828
Mg 0.834 0.666 0.169
Tl 0.500 0.000 0.500
Mg 0.585 0.416 0.667
Mg 0.079 0.910 0.659
Mg 0.921 0.090 0.341
Bi 0.252 0.755 0.003
Mg 0.415 0.584 0.333
Bi 0.748 0.245 0.997
Tl 0.000 0.500 0.500
Mg 0.336 0.168 0.172
Mg 0.166 0.334 0.831

## Properties
Crystal system   triclinic
Formation energy from the elements   -0.342 eV per formula unit
Magnetic moment   0.00 μB/cell

Record 7
Here is a geometry-optimized MgTlBi structure from Alexandria. Energies are from PBE.

Unit cell a=3.635 b=4.522 c=11.238 alpha=90.00 beta=108.89 gamma=89.99
Atoms (fractional coordinates):
Tl 0.210 0.933 0.043
Bi 0.598 0.935 0.433
Bi 0.504 0.435 0.839
Mg 0.884 0.936 0.721
Tl 0.895 0.433 0.229
Mg 0.215 0.436 0.551

## Properties
Crystal system   monoclinic
Formation energy from the elements   -0.363 eV per formula unit
Magnetic moment   0.00 μB/cell

Record 8
Here is a geometry-optimized Mg8Tl6Bi structure from Alexandria. Energies are from PBE.

Unit cell a=7.752 b=7.752 c=7.752 alpha=70.42 beta=70.42 gamma=70.42
Atoms (fractional coordinates):
Tl 0.622 0.160 0.430
Mg 0.252 0.252 0.252
Mg 0.383 0.076 0.857
Mg 0.076 0.857 0.383
Tl 0.160 0.430 0.622
Tl 0.840 0.570 0.378
Tl 0.378 0.840 0.570
Mg 0.857 0.383 0.076
Tl 0.570 0.378 0.840
Mg 0.924 0.143 0.617
Mg 0.143 0.617 0.924
Bi 0.000 0.000 0.000
Mg 0.748 0.748 0.748
Tl 0.430 0.622 0.160
Mg 0.617 0.924 0.143

## Properties
Crystal system   trigonal
Formation energy from the elements   0.136 eV per formula unit
Magnetic moment   0.00 μB/cell

Record 9
Here is a geometry-optimized Mg6TlBi structure from Alexandria. Energies are from PBE.

Unit cell a=4.543 b=4.543 c=9.259 alpha=90.00 beta=90.00 gamma=90.00
Atoms (fractional coordinates):
Mg 0.000 0.500 0.757
Tl 0.000 0.000 0.000
Mg 0.500 0.500 0.500
Mg 0.000 0.500 0.243
Mg 0.500 0.000 0.757
Bi 0.000 0.000 0.500
Mg 0.500 0.500 0.000
Mg 0.500 0.000 0.243

## Properties
Crystal system   tetragonal
Formation energy from the elements   -0.505 eV per formula unit
Magnetic moment   0.00 μB/cell

Record 10
Here is a geometry-optimized Mg2TlBi2 structure from Alexandria. Energies are from PBE.

Unit cell a=4.790 b=4.790 c=7.714 alpha=71.91 beta=71.91 gamma=90.00
Atoms (fractional coordinates):
Tl 0.000 0.000 0.000
Mg 0.750 0.250 0.500
Mg 0.250 0.750 0.500
Bi 0.380 0.380 0.240
Bi 0.620 0.620 0.760

## Properties
Crystal system   tetragonal
Formation energy from the elements   -0.550 eV per formula unit
Magnetic moment   0.00 μB/cell

Record 11
Here is a geometry-optimized MgTl12Bi6 structure from Alexandria. Energies are from PBE.

Unit cell a=8.530 b=8.530 c=8.530 alpha=89.18 beta=89.18 gamma=89.18
Atoms (fractional coordinates):
Tl 0.380 0.151 0.059
Mg 0.000 0.000 0.000
Tl 0.482 0.191 0.574
Tl 0.426 0.518 0.809
Tl 0.809 0.426 0.518
Bi 0.888 0.735 0.238
Bi 0.112 0.265 0.762
Tl 0.518 0.809 0.426
Tl 0.059 0.380 0.151
Tl 0.941 0.620 0.849
Bi 0.265 0.762 0.112
Bi 0.762 0.112 0.265
Tl 0.620 0.849 0.941
Bi 0.735 0.238 0.888
Tl 0.849 0.941 0.620
Tl 0.574 0.482 0.191
Tl 0.151 0.059 0.380
Bi 0.238 0.888 0.735
Tl 0.191 0.574 0.482

## Properties
Crystal system   trigonal
Formation energy from the elements   -0.141 eV per formula unit
Magnetic moment   0.00 μB/cell

Record 12
Here is a geometry-optimized MgTl3Bi structure from Alexandria. Energies are from PBE.

Unit cell a=5.524 b=5.524 c=5.524 alpha=90.00 beta=90.00 gamma=90.00
Atoms (fractional coordinates):
Bi 0.500 0.500 0.500
Tl 0.000 0.500 0.000
Mg 0.000 0.000 0.000
Tl 0.500 0.000 0.000
Tl 0.000 0.000 0.500

## Properties
Crystal system   cubic
Formation energy from the elements   1.387 eV per formula unit
Magnetic moment   0.00 μB/cell

> What is the formation energy from the elements in the twelfth record?

1.387 eV per formula unit